No. 1
Material: BeNb2Co
Method: DFT, PBE-GGA
State: relaxed

a b c (Å): 2.750 2.750 9.658
angles (deg): 81.81 81.81 60.00
Atoms (fractional coordinates):
Be1 0.000 0.000 0.000
Co1 0.500 0.500 0.500
Nb1 0.910 0.910 0.271
Nb2 0.090 0.090 0.729

Summary:
- total moment (μB per formula unit) = 0.839
- volume (Å³ per cell) = 62
- formation energy from the elements (eV per atom) = 0.64
- VASP energy (eV/atom) = -7.11

---

No. 2
Material: CeEuCdIn
Method: DFT, PBE-GGA
State: relaxed

a b c (Å): 5.514 5.514 5.514
angles (deg): 60.00 60.00 60.00
Atoms (fractional coordinates):
Cd1 0.000 0.000 0.000
Eu1 0.250 0.250 0.250
In1 0.500 0.500 0.500
Ce1 0.750 0.750 0.750

Summary:
- total moment (μB per formula unit) = 8.349
- volume (Å³ per cell) = 119
- formation energy from the elements (eV per atom) = -0.31
- VASP energy (eV/atom) = -5.27

---

No. 3
Material: Li2PrNd
Method: DFT, PBE-GGA
State: relaxed

a b c (Å): 3.413 3.413 12.259
angles (deg): 82.00 82.00 60.00
Atoms (fractional coordinates):
Pr1 0.000 0.000 0.000
Nd1 0.500 0.500 0.500
Li1 0.089 0.089 0.733
Li2 0.911 0.911 0.267

Summary:
- distance to the lowest polymorph of the same formula (meV per atom) = 114
- total moment (μB per formula unit) = 0.000
- volume (Å³ per cell) = 122
- formation energy from the elements (eV per atom) = 0.26
- VASP energy (eV/atom) = -3.09

---

No. 4
Material: MnInIrPb2
Method: DFT, PBE-GGA
State: relaxed

a b c (Å): 5.147 4.636 5.147
angles (deg): 90.00 90.00 90.00
Atoms (fractional coordinates):
In1 0.500 0.500 0.500
Pb1 0.500 0.000 0.000
Pb2 0.000 0.000 0.500
Mn1 0.000 0.000 0.000
Ir1 0.000 0.500 0.000

Summary:
- total moment (μB per formula unit) = 0.793
- volume (Å³ per cell) = 123
- formation energy from the elements (eV per atom) = 0.67
- VASP energy (eV/atom) = -4.96

---

No. 5
Material: Li8AgPt2
Method: DFT, PBE-GGA
State: relaxed

a b c (Å): 4.092 6.195 7.244
angles (deg): 106.57 106.40 90.00
Atoms (fractional coordinates):
Li1 0.611 0.467 0.222
Li2 0.150 0.212 0.300
Li3 0.052 0.736 0.103
Li4 0.389 0.533 0.778
Li5 0.312 0.085 0.625
Li6 0.948 0.264 0.897
Li7 0.688 0.915 0.375
Li8 0.850 0.788 0.700
Pt1 0.777 0.350 0.554
Pt2 0.223 0.650 0.446
Ag1 0.500 0.000 0.000

Summary:
- distance to the lowest polymorph of the same formula (meV per atom) = 0
- total moment (μB per formula unit) = 0.000
- volume (Å³ per cell) = 168
- formation energy from the elements (eV per atom) = -0.33
- VASP energy (eV/atom) = -3.08

---

No. 6
Material: GaTcAgTe2
Method: DFT, PBE-GGA
State: relaxed

a b c (Å): 5.469 5.202 5.469
angles (deg): 90.00 90.00 90.00
Atoms (fractional coordinates):
Ag1 0.000 0.000 0.000
Te1 0.500 0.000 0.000
Te2 0.000 0.000 0.500
Tc1 0.000 0.500 0.000
Ga1 0.500 0.500 0.500

Summary:
- total moment (μB per formula unit) = 4.262
- volume (Å³ per cell) = 156
- uncorrected formation energy (eV per atom) = 1.048
- VASP energy (eV/atom) = -3.46

---

No. 7
Material: Li5GaAu6
Method: DFT, PBE-GGA
State: relaxed

a b c (Å): 4.385 7.831 7.602
angles (deg): 59.00 73.49 56.51
Atoms (fractional coordinates):
Ga1 0.000 0.000 0.000
Au1 0.758 0.742 0.000
Au2 0.746 0.085 0.338
Au3 0.254 0.577 0.338
Au4 0.746 0.423 0.662
Au5 0.242 0.258 0.000
Au6 0.254 0.915 0.662
Li1 0.000 0.332 0.336
Li2 0.500 0.836 0.328
Li3 0.000 0.668 0.664
Li4 0.500 0.500 0.000
Li5 0.500 0.164 0.672

Summary:
- total moment (μB per formula unit) = 0.000
- volume (Å³ per cell) = 187
- formation energy from the elements (eV per atom) = -0.50
- VASP energy (eV/atom) = -3.19

---

No. 8
Material: Pm12Sm3Dy
Method: DFT, PBE-GGA
State: relaxed

a b c (Å): 5.147 5.147 20.556
angles (deg): 90.00 90.00 90.00
Atoms (fractional coordinates):
Sm1 0.000 0.000 0.500
Sm2 0.000 0.000 0.249
Sm3 0.000 0.000 0.751
Pm1 0.500 0.000 0.876
Pm2 0.500 0.000 0.124
Pm3 0.000 0.500 0.625
Pm4 0.000 0.500 0.876
Pm5 0.000 0.500 0.375
Pm6 0.500 0.000 0.625
Pm7 0.000 0.500 0.124
Pm8 0.500 0.000 0.375
Pm9 0.500 0.500 0.500
Pm10 0.500 0.500 0.751
Pm11 0.500 0.500 0.249
Pm12 0.500 0.500 0.000
Dy1 0.000 0.000 0.000

Summary:
- total moment (μB per formula unit) = 0.000
- volume (Å³ per cell) = 544
- formation energy from the elements (eV per atom) = 0.01
- VASP energy (eV/atom) = -4.72

---

No. 9
Material: CsLa
Method: DFT, PBE-GGA
State: relaxed

a b c (Å): 7.357 7.357 7.357
angles (deg): 90.00 90.00 90.00
Atoms (fractional coordinates):
La1 0.500 0.500 0.500
La2 0.000 0.500 0.000
La3 0.000 0.000 0.500
La4 0.500 0.000 0.000
Cs1 0.000 0.000 0.000
Cs2 0.000 0.500 0.500
Cs3 0.500 0.000 0.500
Cs4 0.500 0.500 0.000

Summary:
- total moment (μB per formula unit) = 0.000
- volume (Å³ per cell) = 398
- formation energy from the elements (eV per atom) = 1.15
- VASP energy (eV/atom) = -1.74

---

No. 10
Material: InBi2Br
Method: DFT, PBE-GGA
State: relaxed

a b c (Å): 5.451 5.451 5.451
angles (deg): 60.00 60.00 60.00
Atoms (fractional coordinates):
Br1 0.000 0.000 0.000
Bi1 0.250 0.250 0.250
Bi2 0.750 0.750 0.750
In1 0.500 0.500 0.500

Summary:
- distance to the lowest polymorph of the same formula (meV per atom) = 235
- total moment (μB per formula unit) = 0.000
- volume (Å³ per cell) = 115
- uncorrected formation energy (eV per atom) = 0.014
- VASP energy (eV/atom) = -3.03

---

No. 11
Material: Sr4YTa
Method: DFT, PBE-GGA
State: relaxed

a b c (Å): 6.957 6.957 6.957
angles (deg): 60.00 60.00 60.00
Atoms (fractional coordinates):
Sr1 0.624 0.127 0.624
Sr2 0.624 0.624 0.624
Sr3 0.624 0.624 0.127
Sr4 0.127 0.624 0.624
Y1 0.000 0.000 0.000
Ta1 0.250 0.250 0.250

Summary:
- total moment (μB per formula unit) = 3.869
- volume (Å³ per cell) = 238
- formation energy from the elements (eV per atom) = 1.06
- VASP energy (eV/atom) = -3.12

---

No. 12
Material: LiTbCdHg
Method: DFT, PBE-GGA
State: relaxed

a b c (Å): 5.042 5.042 5.042
angles (deg): 60.00 60.00 60.00
Atoms (fractional coordinates):
Cd1 0.250 0.250 0.250
Hg1 0.750 0.750 0.750
Li1 0.500 0.500 0.500
Tb1 0.000 0.000 0.000

Summary:
- total moment (μB per formula unit) = 0.000
- volume (Å³ per cell) = 91
- formation energy from the elements (eV per atom) = -0.36
- VASP energy (eV/atom) = -2.30

---

No. 13
Material: InFeN3
Method: DFT, PBE-GGA
State: relaxed

a b c (Å): 3.735 3.735 3.735
angles (deg): 90.00 90.00 90.00
Atoms (fractional coordinates):
N1 0.500 0.000 0.000
N2 0.000 0.000 0.500
N3 0.000 0.500 0.000
In1 0.500 0.500 0.500
Fe1 0.000 0.000 0.000

Summary:
- total moment (μB per formula unit) = 0.000
- volume (Å³ per cell) = 52
- uncorrected formation energy (eV per atom) = 1.116
- VASP energy (eV/atom) = -6.12

---

No. 14
Material: PtSIN2
Method: DFT, PBE-GGA
State: relaxed

a b c (Å): 3.647 3.647 8.001
angles (deg): 90.00 90.00 90.00
Atoms (fractional coordinates):
Pt1 0.500 0.500 0.500
N1 0.500 0.000 0.000
N2 0.000 0.500 0.000
S1 0.000 0.000 0.000
I1 0.000 0.000 0.500

Summary:
- distance to the lowest polymorph of the same formula (meV per atom) = 432
- total moment (μB per formula unit) = 0.746
- volume (Å³ per cell) = 106
- uncorrected formation energy (eV per atom) = 1.636
- VASP energy (eV/atom) = -4.04

---

No. 15
Material: Pd3WC
Method: DFT, PBE-GGA
State: relaxed

a b c (Å): 4.811 4.811 4.811
angles (deg): 90.00 90.00 90.00
Atoms (fractional coordinates):
Pd1 0.500 0.000 0.000
Pd2 0.000 0.000 0.500
Pd3 0.000 0.500 0.000
C1 0.500 0.500 0.500
W1 0.000 0.000 0.000

Summary:
- distance to the lowest polymorph of the same formula (meV per atom) = 1623
- total moment (μB per formula unit) = 0.863
- volume (Å³ per cell) = 111
- formation energy from the elements (eV per atom) = 2.48
- VASP energy (eV/atom) = -5.07

---

No. 16
Material: KSrBr2
Method: DFT, PBE-GGA
State: relaxed

a b c (Å): 4.783 8.066 4.283
angles (deg): 90.00 90.00 90.00
Atoms (fractional coordinates):
Br1 0.000 0.000 0.000
Br2 0.500 0.500 0.000
K1 0.500 0.000 0.500
Sr1 0.000 0.500 0.500

Summary:
- distance to the lowest polymorph of the same formula (meV per atom) = 180
- total moment (μB per formula unit) = 0.000
- volume (Å³ per cell) = 165
- uncorrected formation energy (eV per atom) = -1.367
- VASP energy (eV/atom) = -2.90

---

No. 17
Material: Re2HgN
Method: DFT, PBE-GGA
State: relaxed

a b c (Å): 5.070 5.070 6.681
angles (deg): 67.70 67.70 90.00
Atoms (fractional coordinates):
Hg1 0.750 0.250 0.500
Hg2 0.000 0.000 0.000
Re1 0.469 0.125 0.250
Re2 0.281 0.625 0.250
Re3 0.875 0.719 0.750
Re4 0.375 0.531 0.750
N1 0.500 0.500 0.000
N2 0.250 0.750 0.500

Summary:
- distance to the lowest polymorph of the same formula (meV per atom) = 0
- total moment (μB per formula unit) = 0.000
- volume (Å³ per cell) = 145
- uncorrected formation energy (eV per atom) = 1.067
- VASP energy (eV/atom) = -7.31

---

No. 18
Material: PuZnBr
Method: DFT, PBE-GGA
State: relaxed

a b c (Å): 5.712 3.603 8.384
angles (deg): 91.81 112.36 108.47
Atoms (fractional coordinates):
Zn1 0.926 0.949 0.316
Zn2 0.074 0.051 0.684
Br1 0.637 0.343 0.840
Br2 0.363 0.657 0.160
Pu1 0.379 0.691 0.520
Pu2 0.621 0.309 0.480

Summary:
- total moment (μB per formula unit) = 1.084
- volume (Å³ per cell) = 149
- uncorrected formation energy (eV per atom) = -0.147
- VASP energy (eV/atom) = -5.91

---

No. 19
Material: Ti3RhSe
Method: DFT, PBE-GGA
State: relaxed

a b c (Å): 4.728 4.728 4.728
angles (deg): 90.00 90.00 90.00
Atoms (fractional coordinates):
Ti1 0.000 0.000 0.500
Ti2 0.000 0.500 0.000
Ti3 0.500 0.000 0.000
Se1 0.500 0.500 0.500
Rh1 0.000 0.000 0.000

Summary:
- distance to the lowest polymorph of the same formula (meV per atom) = 52
- total moment (μB per formula unit) = 0.574
- volume (Å³ per cell) = 106
- uncorrected formation energy (eV per atom) = 0.185
- VASP energy (eV/atom) = -6.72

---

No. 20
Material: CsRb2CdAs2
Method: DFT, PBE-GGA
State: relaxed

a b c (Å): 8.822 7.329 9.431
angles (deg): 112.86 117.88 90.00
Atoms (fractional coordinates):
As1 0.226 0.906 0.812
As2 0.774 0.094 0.188
As3 0.586 0.406 0.812
As4 0.414 0.594 0.188
Rb1 0.137 0.319 0.638
Rb2 0.863 0.681 0.362
Rb3 0.499 0.181 0.362
Rb4 0.501 0.819 0.638
Cd1 0.500 0.750 0.000
Cd2 0.500 0.250 0.000
Cs1 0.000 0.750 0.000
Cs2 0.000 0.250 0.000

Summary:
- total moment (μB per formula unit) = 0.809
- volume (Å³ per cell) = 484
- formation energy from the elements (eV per atom) = -0.28
- VASP energy (eV/atom) = -2.44